Record 1
An optimized crystal structure of K2Ag3Au, computed with PBE.

Properties
ΔH_f (0 K) = -0.0855 eV per atom
E_tot = -2.42 eV per atom
Crystal system = monoclinic
Volume = 24.4 Å³ per atom
Total magnetization = 0.00 μB per atom

a = 5.883 Å, b = 5.883 Å, c = 5.962 Å
α = 120.11°, β = 120.11°, γ = 60.45°
Element x y z (fractional)
K: 0.126 0.126 0.374
K: 0.874 0.874 0.626
Ag: 0.000 0.500 0.000
Ag: 0.500 0.000 0.000
Ag: 0.500 0.500 0.500
Au: 0.500 0.500 0.000

***

Record 2
An optimized crystal structure of KAg6Au6, computed with PBE.

Properties
ΔH_f (0 K) = -0.0806 eV per atom
E_tot = -2.99 eV per atom
Crystal system = orthorhombic
Volume = 20.1 Å³ per atom
Total magnetization = 0.00 μB per atom

a = 7.414 Å, b = 7.414 Å, c = 7.414 Å
α = 136.16°, β = 98.34°, γ = 97.68°
Element x y z (fractional)
K: 0.000 0.000 0.000
Ag: 0.220 0.500 0.720
Ag: 0.355 0.000 0.355
Ag: 0.356 0.356 0.000
Ag: 0.644 0.644 0.000
Ag: 0.645 0.000 0.645
Ag: 0.780 0.500 0.280
Au: 0.000 0.000 0.500
Au: 0.000 0.500 0.000
Au: 0.226 0.726 0.500
Au: 0.500 0.000 0.000
Au: 0.500 0.500 0.500
Au: 0.774 0.274 0.500

***

Record 3
An optimized crystal structure of KAg2Au9, computed with PBE.

Properties
ΔH_f (0 K) = -0.0770 eV per atom
E_tot = -3.10 eV per atom
Crystal system = trigonal
Volume = 20.7 Å³ per atom
Total magnetization = 0.00 μB per atom

a = 9.652 Å, b = 9.652 Å, c = 9.652 Å
α = 33.87°, β = 33.87°, γ = 33.87°
Element x y z (fractional)
K: 0.000 0.000 0.000
Ag: 0.153 0.153 0.153
Ag: 0.847 0.847 0.847
Au: 0.081 0.588 0.588
Au: 0.334 0.334 0.334
Au: 0.412 0.412 0.919
Au: 0.412 0.919 0.412
Au: 0.500 0.500 0.500
Au: 0.588 0.081 0.588
Au: 0.588 0.588 0.081
Au: 0.666 0.666 0.666
Au: 0.919 0.412 0.412

***

Record 4
An optimized crystal structure of K2AgAu, computed with PBE.

Properties
Polymorph energy (0 for the lowest one) = 68.2 meV/atom
ΔH_f (0 K) = -0.0987 eV per atom
E_tot = -2.18 eV per atom
Crystal system = monoclinic
Volume = 32.8 Å³ per atom
Total magnetization = 0.00 μB per atom

a = 4.005 Å, b = 4.051 Å, c = 8.095 Å
α = 90.00°, β = 90.08°, γ = 90.00°
Element x y z (fractional)
K: 0.001 0.000 0.240
K: 0.999 0.000 0.760
Ag: 0.500 0.500 0.500
Au: 0.500 0.500 0.000

***

Record 5
An optimized crystal structure of K4Ag3Au, computed with PBE.

Properties
ΔH_f (0 K) = -0.0572 eV per atom
E_tot = -2.08 eV per atom
Crystal system = orthorhombic
Volume = 35.5 Å³ per atom
Total magnetization = 0.00 μB per atom

a = 4.783 Å, b = 4.867 Å, c = 12.207 Å
α = 90.00°, β = 90.00°, γ = 90.00°
Element x y z (fractional)
K: 0.000 0.000 0.000
K: 0.000 0.500 0.280
K: 0.500 0.000 0.487
K: 0.500 0.500 0.785
Ag: 0.000 0.000 0.697
Ag: 0.000 0.500 0.577
Ag: 0.500 0.500 0.078
Au: 0.500 0.000 0.202

***

Record 6
An optimized crystal structure of K4AgAu3, computed with PBE.

Properties
ΔH_f (0 K) = -0.2303 eV per atom
E_tot = -2.36 eV per atom
Crystal system = orthorhombic
Volume = 34.1 Å³ per atom
Total magnetization = 0.00 μB per atom

a = 4.666 Å, b = 4.834 Å, c = 12.077 Å
α = 90.00°, β = 90.00°, γ = 90.00°
Element x y z (fractional)
K: 0.000 0.000 0.000
K: 0.000 0.500 0.277
K: 0.500 0.000 0.488
K: 0.500 0.500 0.782
Ag: 0.000 0.000 0.698
Au: 0.000 0.500 0.570
Au: 0.500 0.000 0.206
Au: 0.500 0.500 0.069

***

Record 7
An optimized crystal structure of K2AgAu, computed with PBE.

Properties
Polymorph energy (0 for the lowest one) = 518.0 meV/atom
ΔH_f (0 K) = 0.3511 eV per atom
E_tot = -1.73 eV per atom
Crystal system = orthorhombic
Volume = 147.4 Å³ per atom
Total magnetization = 0.00 μB per atom

a = 9.447 Å, b = 9.447 Å, c = 9.447 Å
α = 129.12°, β = 103.68°, γ = 97.62°
Element x y z (fractional)
K: 0.246 0.246 0.000
K: 0.754 0.754 0.000
Ag: 0.500 0.500 0.000
Au: 0.000 0.000 0.000

***

Record 8
An optimized crystal structure of K2Ag15Au2, computed with PBE.

Properties
ΔH_f (0 K) = 0.0216 eV per atom
E_tot = -2.69 eV per atom
Crystal system = trigonal
Volume = 20.9 Å³ per atom
Total magnetization = 0.00 μB per atom

a = 7.399 Å, b = 7.399 Å, c = 7.399 Å
α = 83.30°, β = 83.30°, γ = 83.30°
Element x y z (fractional)
K: 0.157 0.157 0.157
K: 0.843 0.843 0.843
Ag: 0.000 0.500 0.500
Ag: 0.156 0.156 0.648
Ag: 0.156 0.648 0.156
Ag: 0.204 0.500 0.796
Ag: 0.204 0.796 0.500
Ag: 0.352 0.844 0.844
Ag: 0.500 0.000 0.500
Ag: 0.500 0.204 0.796
Ag: 0.500 0.500 0.000
Ag: 0.500 0.796 0.204
Ag: 0.648 0.156 0.156
Ag: 0.796 0.204 0.500
Ag: 0.796 0.500 0.204
Ag: 0.844 0.352 0.844
Ag: 0.844 0.844 0.352
Au: 0.399 0.399 0.399
Au: 0.601 0.601 0.601